1.
Ba3YOs2O9: optimized geometry, PBE.

Cell lengths 5.8833, 5.8833, 7.2037 Å; angles 90.00, 90.00, 120.00 degrees
Sites, in units of the cell vectors:
Ba1 0.0000 0.0000 0.0000
Ba2 0.3333 0.6667 0.6659
Ba3 0.6667 0.3333 0.3341
Y1 0.0000 0.0000 0.5000
Os1 0.3333 0.6667 0.1521
Os2 0.6667 0.3333 0.8479
O1 0.0000 0.5000 0.0000
O2 0.1771 0.3541 0.3172
O3 0.1771 0.8229 0.3172
O4 0.3541 0.1771 0.6828
O5 0.5000 0.0000 0.0000
O6 0.5000 0.5000 0.0000
O7 0.6459 0.8229 0.3172
O8 0.8229 0.1771 0.6828
O9 0.8229 0.6459 0.6828

Summary:
Calculated density in g/cm³: 7.9
Space group: P-3m1 (164)
Total DFT energy (no corrections) in eV/atom: -7.470
Raw formation energy in kJ per mole of atoms: -210.6

2.
TaTiAlC: optimized geometry, PBE.

Cell lengths 3.0860, 3.0860, 13.8607 Å; angles 90.00, 90.00, 120.00 degrees
Sites, in units of the cell vectors:
Ta1 0.3333 0.6667 0.4097
Ta2 0.6667 0.3333 0.5903
Ti1 0.3333 0.6667 0.0825
Ti2 0.6667 0.3333 0.9175
Al1 0.3333 0.6667 0.7545
Al2 0.6667 0.3333 0.2455
C1 0.0000 0.0000 0.0000
C2 0.0000 0.0000 0.5000

Summary:
Calculated density in g/cm³: 7.8
Space group: P-3m1 (164)
Total DFT energy (no corrections) in eV/atom: -8.804
DFT formation energy in meV per atom: -625

3.
Pr4ZrP5: optimized geometry, PBE.

Cell lengths 7.1057, 7.1057, 7.1057 Å; angles 99.68, 99.68, 131.59 degrees
Sites, in units of the cell vectors:
Pr1 0.0964 0.2999 0.3963
Pr2 0.2999 0.9036 0.2035
Pr3 0.7001 0.0964 0.7965
Pr4 0.9036 0.7001 0.6037
Zr1 0.5000 0.5000 0.0000
P1 0.0000 0.0000 0.0000
P2 0.2166 0.5951 0.8117
P3 0.4049 0.2166 0.6215
P4 0.5951 0.7834 0.3785
P5 0.7834 0.4049 0.1883

Summary:
Calculated density in g/cm³: 5.5
Space group: I4/m (87)
Total DFT energy (no corrections) in eV/atom: -6.918
DFT formation energy in meV per atom: -1446

4.
ScTa2Cd: optimized geometry, PBE.

Cell lengths 3.0066, 3.0066, 30.6808 Å; angles 90.00, 90.00, 120.00 degrees
Sites, in units of the cell vectors:
Sc1 0.0000 0.0000 0.0000
Sc2 0.3333 0.6667 0.6667
Sc3 0.6667 0.3333 0.3333
Ta1 0.0000 0.0000 0.2501
Ta2 0.0000 0.0000 0.7499
Ta3 0.3333 0.6667 0.4166
Ta4 0.3333 0.6667 0.9168
Ta5 0.6667 0.3333 0.0832
Ta6 0.6667 0.3333 0.5834
Cd1 0.0000 0.0000 0.5000
Cd2 0.3333 0.6667 0.1667
Cd3 0.6667 0.3333 0.8333

Summary:
Calculated density in g/cm³: 10.8
Space group: R-3m (166)
Total DFT energy (no corrections) in eV/atom: -7.460
DFT formation energy in meV per atom: 278

5.
TmSn7Pd4: optimized geometry, PBE.

Cell lengths 6.9783, 6.9783, 10.1728 Å; angles 124.56, 124.56, 46.01 degrees
Sites, in units of the cell vectors:
Tm1 0.0000 0.0000 0.0000
Sn1 0.1063 0.1063 0.3763
Sn2 0.1971 0.1971 0.9047
Sn3 0.3429 0.3429 0.3646
Sn4 0.5000 0.5000 0.0000
Sn5 0.6571 0.6571 0.6354
Sn6 0.8029 0.8029 0.0953
Sn7 0.8937 0.8937 0.6237
Pd1 0.2622 0.2622 0.7036
Pd2 0.4926 0.4926 0.7211
Pd3 0.5074 0.5074 0.2789
Pd4 0.7378 0.7378 0.2964

Summary:
Calculated density in g/cm³: 8.4
Space group: C2/m (12)
Total DFT energy (no corrections) in eV/atom: -4.684
DFT formation energy in meV per atom: -246

6.
CrTcN3: optimized geometry, PBE.

Cell lengths 3.8304, 3.8304, 3.8304 Å; angles 90.00, 90.00, 90.00 degrees
Sites, in units of the cell vectors:
Cr1 0.0000 0.0000 0.0000
Tc1 0.5000 0.5000 0.5000
N1 0.0000 0.5000 0.5000
N2 0.5000 0.0000 0.5000
N3 0.5000 0.5000 0.0000

Summary:
Calculated density in g/cm³: 5.7
Space group: Pm-3m (221)
Total DFT energy (no corrections) in eV/atom: -7.721
Raw formation energy in kJ per mole of atoms: 122.8

7.
PmTeSe: optimized geometry, PBE.

Cell lengths 3.9340, 3.9340, 10.6237 Å; angles 90.00, 90.00, 90.00 degrees
Sites, in units of the cell vectors:
Pm1 0.0000 0.0000 0.0000
Pm2 0.5000 0.5000 0.5000
Te1 0.0000 0.0000 0.6749
Te2 0.5000 0.5000 0.1749
Se1 0.0000 0.0000 0.3867
Se2 0.5000 0.5000 0.8867

Summary:
Calculated density in g/cm³: 7.1
Space group: I4mm (107)
Total DFT energy (no corrections) in eV/atom: -5.008
Raw formation energy in kJ per mole of atoms: -117.3

8.
RbSCl4: optimized geometry, PBE.

Cell lengths 5.2403, 9.2135, 9.0329 Å; angles 90.00, 92.01, 90.00 degrees
Sites, in units of the cell vectors:
Rb1 0.1185 0.2500 0.4601
Rb2 0.8815 0.7500 0.5399
S1 0.2784 0.7500 0.1317
S2 0.7216 0.2500 0.8683
Cl1 0.1017 0.2500 0.8450
Cl2 0.2956 0.7500 0.8974
Cl3 0.3878 0.5633 0.3631
Cl4 0.3878 0.9367 0.3631
Cl5 0.6122 0.0633 0.6369
Cl6 0.6122 0.4367 0.6369
Cl7 0.7044 0.2500 0.1026
Cl8 0.8983 0.7500 0.1550

Summary:
Calculated density in g/cm³: 2.0
Space group: P2_1/m (11)
Total DFT energy (no corrections) in eV/atom: -2.683
Raw formation energy in kJ per mole of atoms: -58.2

9.
SbTe2As: optimized geometry, PBE.

Cell lengths 4.3086, 4.3086, 21.3916 Å; angles 90.00, 90.00, 120.00 degrees
Sites, in units of the cell vectors:
Sb1 0.0000 0.0000 0.0000
Sb2 0.3333 0.6667 0.6667
Sb3 0.6667 0.3333 0.3333
Te1 0.0000 0.0000 0.5166
Te2 0.0000 0.0000 0.7547
Te3 0.3333 0.6667 0.1833
Te4 0.3333 0.6667 0.4214
Te5 0.6667 0.3333 0.0880
Te6 0.6667 0.3333 0.8499
As1 0.0000 0.0000 0.2609
As2 0.3333 0.6667 0.9276
As3 0.6667 0.3333 0.5943

Summary:
Calculated density in g/cm³: 6.5
Space group: R3m (160)
Total DFT energy (no corrections) in eV/atom: -3.709
Raw formation energy in kJ per mole of atoms: 5.3

10.
SmDyTlBi: optimized geometry, PBE.

Cell lengths 7.7581, 7.7581, 7.7581 Å; angles 90.00, 90.00, 90.00 degrees
Sites, in units of the cell vectors:
Sm1 0.0000 0.0000 0.0000
Sm2 0.0000 0.5000 0.5000
Sm3 0.5000 0.0000 0.5000
Sm4 0.5000 0.5000 0.0000
Dy1 0.0000 0.0000 0.5000
Dy2 0.0000 0.5000 0.0000
Dy3 0.5000 0.0000 0.0000
Dy4 0.5000 0.5000 0.5000
Tl1 0.2500 0.2500 0.7500
Tl2 0.2500 0.7500 0.2500
Tl3 0.7500 0.2500 0.2500
Tl4 0.7500 0.7500 0.7500
Bi1 0.2500 0.2500 0.2500
Bi2 0.2500 0.7500 0.7500
Bi3 0.7500 0.2500 0.7500
Bi4 0.7500 0.7500 0.2500

Summary:
Calculated density in g/cm³: 10.3
Space group: F-43m (216)
Total DFT energy (no corrections) in eV/atom: -4.321
DFT formation energy in meV per atom: -429

11.
TbSm9Ho2: optimized geometry, PBE.

Cell lengths 5.0961, 5.0961, 15.2896 Å; angles 90.00, 90.00, 90.00 degrees
Sites, in units of the cell vectors:
Tb1 0.0000 0.0000 0.0000
Sm1 0.0000 0.5000 0.1672
Sm2 0.0000 0.5000 0.5000
Sm3 0.0000 0.5000 0.8328
Sm4 0.5000 0.0000 0.1672
Sm5 0.5000 0.0000 0.5000
Sm6 0.5000 0.0000 0.8328
Sm7 0.5000 0.5000 0.0000
Sm8 0.5000 0.5000 0.3338
Sm9 0.5000 0.5000 0.6662
Ho1 0.0000 0.0000 0.3336
Ho2 0.0000 0.0000 0.6664

Summary:
Calculated density in g/cm³: 7.7
Space group: P4/mmm (123)
Total DFT energy (no corrections) in eV/atom: -4.670
DFT formation energy in meV per atom: 18

12.
Er2ThCo: optimized geometry, PBE.

Cell lengths 3.3935, 3.3935, 8.6414 Å; angles 90.00, 90.00, 90.00 degrees
Sites, in units of the cell vectors:
Er1 0.0000 0.0000 0.1842
Er2 0.0000 0.0000 0.8158
Th1 0.5000 0.5000 0.5000
Co1 0.5000 0.5000 0.0000

Summary:
Calculated density in g/cm³: 10.4
Space group: P4/mmm (123)
Total DFT energy (no corrections) in eV/atom: -5.979
DFT formation energy in meV per atom: -66